Density functional theory data (PBE) for crystalline BeIr2Os at its relaxed geometry.

Cell lengths 2.767, 2.767, 6.675 Å; angles 90.00, 90.00, 90.00 degrees
Atoms (fractional coordinates):
Be (0.500, 0.500, 0.756)
Ir (0.000, 0.000, 0.957)
Ir (0.500, 0.500, 0.256)
Os (0.000, 0.000, 0.531)

Properties
The value obtained for the density of states at the Fermi level is 2.96 states/eV/f.u. As for the formation energy from the elements: -147 meV/atom. Its symmetry is P4mm. Its calculated volume is 12.8 Å³ per atom.